## A
Compound: ZnCdSO
Source: OQMD via LeMat-Bulk
Functional: PBE
Structure: relaxed

Unit cell a=3.2151 b=5.5197 c=6.9490 alpha=90.00 beta=76.62 gamma=90.00
Closest atoms and distances in Å follow each position.
Element x y z (fractional)
O (0.0000, 0.5000, 0.0000)  4 Zn 2.26, 2 Cd 2.43
O (0.0000, 0.0000, 0.0000)  4 Zn 2.26, 2 Cd 2.43
S (0.1987, 0.2500, 0.6025)  2 Zn 2.49, 2 Cd 2.63
S (0.8013, 0.7500, 0.3975)  2 Zn 2.49, 2 Cd 2.63
Zn (0.4423, 0.7500, 0.1155)  4 O 2.26, 2 S 2.49
Zn (0.5577, 0.2500, 0.8845)  4 O 2.26, 2 S 2.49
Cd (0.1477, 0.7500, 0.7046)  2 O 2.43, 2 S 2.63
Cd (0.8523, 0.2500, 0.2954)  2 O 2.43, 2 S 2.63

Its calculated volume is 120 Å³ per cell.

=====

## B
Compound: ZnCdSO
Source: OQMD via LeMat-Bulk
Functional: PBE
Structure: relaxed

Unit cell a=6.0624 b=7.6235 c=5.6324 alpha=90.00 beta=90.00 gamma=90.00
Closest atoms and distances in Å follow each position.
Element x y z (fractional)
Cd (0.3681, 0.6601, 0.9655)  1 O 2.27
Cd (0.1319, 0.6601, 0.4655)  1 O 2.27
Cd (0.8681, 0.3399, 0.9655)  1 O 2.27
Cd (0.6319, 0.3399, 0.4655)  1 O 2.27
Zn (0.1401, 0.0642, 0.6069)  3 O 1.97-2.04
Zn (0.8599, 0.9358, 0.1069)  3 O 1.97-2.04
Zn (0.3599, 0.0642, 0.1069)  3 O 1.97-2.04
Zn (0.6401, 0.9358, 0.6069)  3 O 1.97-2.04
S (0.5629, 0.6640, 0.3764)  1 Zn 2.49, 3 Cd 2.55-2.66
S (0.0629, 0.3360, 0.3764)  1 Zn 2.49, 3 Cd 2.55-2.66
S (0.4371, 0.3360, 0.8764)  1 Zn 2.49, 3 Cd 2.55-2.66
S (0.9371, 0.6640, 0.8764)  1 Zn 2.49, 3 Cd 2.56-2.66
O (0.6296, 0.0677, 0.3012)  3 Zn 1.97-2.04
O (0.1296, 0.9323, 0.3012)  3 Zn 1.97-2.04
O (0.3704, 0.9323, 0.8012)  3 Zn 1.97-2.04
O (0.8704, 0.0677, 0.8012)  3 Zn 1.97-2.04

Its calculated volume is 260 Å³ per cell.

=====

B ends up most stable, edging out the next structure by 30.3 kJ/mol of atoms.

=====

## A
Compound: LiGa2Ni
Source: OQMD via LeMat-Bulk
Functional: PBE
Structure: relaxed

Unit cell a=4.1709 b=5.8953 c=12.5408 alpha=90.00 beta=90.00 gamma=90.00
Closest atoms and distances in Å follow each position.
Element x y z (fractional)
Ga (0.0000, 0.2504, 0.5000)  4 Li 2.55-2.56, 4 Ni 2.55-2.56
Ga (0.4996, 0.2496, 0.3334)  4 Li 2.55-2.56, 4 Ni 2.55-2.56
Ga (0.0000, 0.7496, 0.5000)  4 Li 2.55-2.56, 4 Ni 2.55-2.56
Ga (0.4996, 0.7504, 0.3334)  4 Li 2.55-2.56, 4 Ni 2.55-2.56
Ga (0.0004, 0.2504, 0.8334)  4 Li 2.55-2.56, 4 Ni 2.55-2.56
Ga (0.0004, 0.7496, 0.8334)  4 Li 2.55-2.56, 4 Ni 2.55-2.56
Ga (0.5004, 0.7504, 0.6666)  4 Li 2.55-2.56, 4 Ni 2.55-2.56
Ga (0.9996, 0.7496, 0.1666)  4 Li 2.55-2.56, 4 Ni 2.55-2.56
Ga (0.9996, 0.2504, 0.1666)  4 Li 2.55-2.56, 4 Ni 2.55-2.56
Ga (0.5000, 0.7504, 0.0000)  4 Li 2.55-2.56, 4 Ni 2.55-2.56
Ga (0.5000, 0.2496, 0.0000)  4 Li 2.55-2.56, 4 Ni 2.55-2.56
Ga (0.5004, 0.2496, 0.6666)  4 Li 2.55-2.56, 4 Ni 2.55-2.56
Ni (0.5000, 0.0000, 0.5000)  8 Ga 2.55-2.56
Ni (0.5004, 0.0000, 0.8334)  8 Ga 2.55-2.56
Ni (0.0000, 0.5000, 0.0000)  8 Ga 2.55-2.56
Ni (0.0004, 0.5000, 0.6666)  8 Ga 2.55-2.56
Ni (0.9996, 0.5000, 0.3334)  8 Ga 2.55-2.56
Ni (0.4996, 0.0000, 0.1666)  8 Ga 2.55-2.56
Li (0.0005, 0.0000, 0.6666)  8 Ga 2.55-2.56
Li (0.4995, 0.5000, 0.1666)  8 Ga 2.55-2.56
Li (0.5005, 0.5000, 0.8334)  8 Ga 2.55-2.56
Li (0.0000, 0.0000, 0.0000)  8 Ga 2.55-2.56
Li (0.9995, 0.0000, 0.3334)  8 Ga 2.55-2.56
Li (0.5000, 0.5000, 0.5000)  8 Ga 2.55-2.56

Its calculated volume is 308 Å³ per cell.

=====

## B
Compound: LiGa2Ni
Source: OQMD via LeMat-Bulk
Functional: PBE
Structure: relaxed

Unit cell a=4.2238 b=4.2238 c=4.2238 alpha=60.00 beta=60.00 gamma=60.00
Closest atoms and distances in Å follow each position.
Element x y z (fractional)
Ga (0.0000, 0.0000, 0.0000)  4 Ga 2.59, 4 Ni 2.59
Ga (0.7500, 0.7500, 0.7500)  4 Li 2.59, 4 Ga 2.59
Li (0.5000, 0.5000, 0.5000)  4 Ni 2.59, 4 Ga 2.59
Ni (0.2500, 0.2500, 0.2500)  4 Li 2.59, 4 Ga 2.59

Its calculated volume is 53 Å³ per cell.

=====

A ends up most stable, edging out the next structure by 17.4 kJ/mol of atoms.